DFT (PBE) results for an optimized crystal structure of Rb3U3TcN8.

Unit cell a=6.8353 b=6.8353 c=20.1391 alpha=90.00 beta=90.00 gamma=120.00
Space group R-3m (No. 166, hexagonal axes)
Inequivalent atoms, fractional coordinates:
Rb1 0.0000 0.5000 0.0000 x9
U1 0.0000 0.5000 0.5000 x9
Tc1 0.0000 0.0000 0.5000 x3
N1 0.0000 0.0000 0.2181 x6
N2 0.0024 0.5012 0.7847 x18

Calculated values
ΔE_f (raw) in eV per atom: -0.731
Total DFT energy (no corrections) in eV/atom: -8.31